DFT (PBE) results for an optimized crystal structure of Nd7Dy2Y2.

The calculation puts the mass density at 6.6 g/cm³. The calculation puts the calculated formation energy at 0.14 eV per atom.

Cell: 6.1161 8.1838 8.1838 Å, 88.90 74.41 74.41°
With the nearest neighbours (Å) after each atom.
Sites, in units of the cell vectors:
1 Nd 0.1760 0.0459 0.5900  3 Nd 3.16-3.40, 1 Y 3.41
2 Nd 0.8240 0.4100 0.9541  3 Nd 3.16-3.40, 1 Y 3.41
3 Nd 0.8240 0.9541 0.4100  3 Nd 3.16-3.40, 1 Y 3.41
4 Nd 0.1760 0.5900 0.0459  3 Nd 3.16-3.40, 1 Y 3.41
5 Nd 0.0000 0.0000 0.0000  6 Nd 3.28-3.66
6 Nd 0.6010 0.7667 0.7667  5 Nd 3.40-3.66, 2 Dy 3.50-3.75, 2 Y 3.58
7 Nd 0.3990 0.2333 0.2333  5 Nd 3.40-3.66, 2 Dy 3.50-3.75, 2 Y 3.58
8 Dy 0.7988 0.4219 0.4219  2 Dy 3.42-3.57, 6 Nd 3.50-3.80, 2 Y 3.65
9 Dy 0.2012 0.5781 0.5781  2 Dy 3.42-3.57, 6 Nd 3.50-3.80, 2 Y 3.65
10 Y 0.5000 0.2182 0.7818  6 Nd 3.41-3.58, 2 Dy 3.65
11 Y 0.5000 0.7818 0.2182  6 Nd 3.41-3.58, 2 Dy 3.65

DFT (PBE) results for an optimized crystal structure of Nd2Dy5Y12.

The calculation puts the mass density at 5.8 g/cm³. The calculation puts the calculated formation energy at 0.11 eV per atom.

Cell: 6.2367 9.4499 14.8553 Å, 120.07 99.94 112.86°
With the nearest neighbours (Å) after each atom.
Sites, in units of the cell vectors:
1 Nd 0.7352 0.0513 0.0322  3 Y 3.03-3.13, 1 Nd 3.23
2 Nd 0.0296 0.8274 0.9570  1 Nd 3.23, 1 Dy 3.43, 2 Y 3.57-3.62
3 Dy 0.2412 0.6286 0.7568  2 Nd 3.43-3.45, 8 Y 3.44-3.75, 1 Dy 3.51
4 Dy 0.4285 0.8362 0.3282  4 Y 3.09-3.33, 3 Dy 3.25-3.36
5 Dy 0.0517 0.9692 0.4327  4 Dy 3.33-3.64, 4 Y 3.43-3.70
6 Dy 0.7449 0.1378 0.6128  3 Dy 3.25-3.64, 6 Y 3.38-3.61
7 Dy 0.8511 0.4705 0.2879  7 Y 3.45-3.68, 1 Nd 3.52, 2 Dy 3.57-3.58
8 Y 0.2763 0.1430 0.2718  7 Y 3.41-3.76, 3 Dy 3.58-3.78, 1 Nd 3.62
9 Y 0.0561 0.4257 0.9085  7 Y 3.33-3.70, 2 Dy 3.38-3.69, 1 Nd 3.57
10 Y 0.4261 0.3376 0.7698  5 Y 3.30-3.66, 3 Dy 3.44-3.61, 1 Nd 3.64
11 Y 0.1568 0.8110 0.5983  8 Y 3.43-3.76, 4 Dy 3.55-3.65
12 Y 0.4976 0.6287 0.4480  4 Dy 3.33-3.68, 6 Y 3.41-3.63
13 Y 0.4326 0.1375 0.8984  1 Nd 3.11, 4 Y 3.30-3.43
14 Y 0.5720 0.8662 0.1468  1 Nd 3.03, 1 Dy 3.09, 2 Y 3.33-3.39
15 Y 0.9419 0.3086 0.4504  5 Dy 3.43-3.65, 7 Y 3.49-3.76
16 Y 0.6041 0.4591 0.5996  7 Y 3.44-3.76, 4 Dy 3.45-3.75
17 Y 0.8737 0.6253 0.1134  2 Dy 3.25-3.56, 5 Y 3.35-3.56
18 Y 0.2958 0.3959 0.1232  1 Nd 3.13, 2 Dy 3.32-3.45, 2 Y 3.47-3.48
19 Y 0.7846 0.9403 0.7642  7 Y 3.37-3.76, 2 Dy 3.46-3.60, 1 Nd 3.68

DFT (PBE) results for an optimized crystal structure of Nd3Dy7Y.

The calculation puts the mass density at 7.5 g/cm³. The calculation puts the calculated formation energy at 0.14 eV per atom.

Cell: 8.9294 10.0930 5.5500 Å, 90.01 128.41 106.11°
With the nearest neighbours (Å) after each atom.
Sites, in units of the cell vectors:
1 Nd 0.2161 0.9981 0.7164  1 Nd 3.04, 2 Dy 3.37-3.38
2 Nd 0.0000 0.5000 0.0000  2 Y 3.50, 10 Dy 3.54-3.84
3 Nd 0.7839 0.0019 0.2836  1 Nd 3.04, 2 Dy 3.37-3.38
4 Dy 0.9099 0.8295 0.9101  3 Dy 3.22-3.31, 1 Y 3.54, 5 Nd 3.55-3.60
5 Dy 0.8164 0.6377 0.3166  5 Dy 3.29-3.59, 2 Y 3.51-3.52, 2 Nd 3.54
6 Dy 0.6428 0.2892 0.1428  3 Dy 3.29-3.59, 2 Nd 3.37-3.38
7 Dy 0.3572 0.7108 0.8572  3 Dy 3.29-3.59, 2 Nd 3.37-3.38
8 Dy 0.5000 0.0000 0.5000  4 Nd 3.41
9 Dy 0.1836 0.3623 0.6834  5 Dy 3.29-3.59, 2 Y 3.51-3.52, 2 Nd 3.54
10 Dy 0.0901 0.1705 0.0899  3 Dy 3.22-3.31, 1 Y 3.54, 5 Nd 3.55-3.60
11 Y 0.5000 0.5000 0.5000  2 Nd 3.50, 10 Dy 3.51-3.84

DFT (PBE) results for an optimized crystal structure of Nd6Dy4Y.

The calculation puts the mass density at 6.8 g/cm³. The calculation puts the calculated formation energy at 0.36 eV per atom.

Cell: 7.5550 7.5550 8.6946 Å, 115.75 115.75 90.00°
With the nearest neighbours (Å) after each atom.
Sites, in units of the cell vectors:
1 Nd 0.9156 0.4615 0.3771  1 Dy 3.24, 1 Y 3.55
2 Nd 0.4615 0.9156 0.3771  1 Dy 3.24, 1 Y 3.55
3 Nd 0.5385 0.5385 0.6229  1 Dy 3.24, 1 Y 3.55
4 Nd 0.0000 0.5000 0.0000  4 Dy 3.03
5 Nd 0.0844 0.0844 0.6229  1 Dy 3.24, 1 Y 3.55
6 Nd 0.5000 0.0000 0.0000  4 Dy 3.03
7 Dy 0.0839 0.7547 0.8386  3 Nd 3.03-3.24, 2 Dy 3.33
8 Dy 0.9161 0.9161 0.1614  3 Nd 3.03-3.24, 2 Dy 3.33
9 Dy 0.7547 0.0839 0.8386  3 Nd 3.03-3.24, 2 Dy 3.33
10 Dy 0.2453 0.2453 0.1614  3 Nd 3.03-3.24, 2 Dy 3.33
11 Y 0.5000 0.5000 0.0000  8 Nd 3.55-3.78, 4 Dy 3.75

DFT (PBE) results for an optimized crystal structure of NdDy6Y3.

The calculation puts the mass density at 7.0 g/cm³. The calculation puts the calculated formation energy at 0.29 eV per atom.

Cell: 9.8571 9.8571 6.8980 Å, 44.40 44.40 60.00°
With the nearest neighbours (Å) after each atom.
Sites, in units of the cell vectors:
1 Nd 0.8998 0.8998 0.3005  2 Y 2.94-2.97, 3 Dy 3.25
2 Dy 0.9013 0.5704 0.2983  1 Nd 3.25, 2 Y 3.43-3.44
3 Dy 0.2300 0.9013 0.2983  1 Nd 3.25, 2 Y 3.43-3.44
4 Dy 0.5704 0.2300 0.2983  1 Nd 3.25, 2 Y 3.43-3.44
5 Dy 0.0698 0.4016 0.7979  3 Y 3.26-3.45
6 Dy 0.7307 0.0698 0.7979  3 Y 3.26-3.45
7 Dy 0.4016 0.7307 0.7979  3 Y 3.26-3.45
8 Y 0.3993 0.3993 0.8022  2 Y 2.89-2.90
9 Y 0.6461 0.6461 0.0618  1 Y 2.89, 1 Nd 2.97
10 Y 0.1510 0.1510 0.5469  1 Y 2.90, 1 Nd 2.94

DFT (PBE) results for an optimized crystal structure of Nd3Dy3Y2.

The calculation puts the mass density at 6.8 g/cm³. The calculation puts the calculated formation energy at 0.02 eV per atom.

Cell: 6.3302 8.5655 14.6759 Å, 90.00 90.00 137.72°
With the nearest neighbours (Å) after each atom.
Sites, in units of the cell vectors:
1 Nd 0.9214 0.7497 0.3754  6 Dy 3.57-3.68, 3 Nd 3.58-3.68, 3 Y 3.58-3.64
2 Nd 0.0786 0.2503 0.8754  6 Dy 3.57-3.68, 3 Nd 3.58-3.68, 3 Y 3.58-3.64
3 Nd 0.9214 0.7497 0.1246  6 Dy 3.57-3.68, 3 Nd 3.58-3.68, 3 Y 3.58-3.64
4 Nd 0.0786 0.2503 0.6246  6 Dy 3.57-3.68, 3 Nd 3.58-3.68, 3 Y 3.58-3.64
5 Nd 0.5892 0.2497 0.2500  4 Dy 3.57-3.68, 4 Nd 3.58, 4 Y 3.65-3.69
6 Nd 0.4108 0.7503 0.7500  4 Dy 3.57-3.68, 4 Nd 3.58, 4 Y 3.65-3.69
7 Dy 0.5837 0.2500 0.5011  4 Y 3.56-3.67, 3 Dy 3.57-3.65, 5 Nd 3.57-3.68
8 Dy 0.4163 0.7500 0.0011  4 Y 3.56-3.67, 3 Dy 3.57-3.65, 5 Nd 3.57-3.68
9 Dy 0.5837 0.2500 0.9989  4 Y 3.56-3.67, 3 Dy 3.57-3.65, 5 Nd 3.57-3.68
10 Dy 0.4163 0.7500 0.4989  4 Y 3.56-3.67, 3 Dy 3.57-3.65, 5 Nd 3.57-3.68
11 Dy 0.4232 0.7496 0.2500  6 Nd 3.57-3.67, 4 Y 3.58, 2 Dy 3.65
12 Dy 0.5768 0.2504 0.7500  6 Nd 3.57-3.67, 4 Y 3.58, 2 Dy 3.65
13 Y 0.9146 0.7505 0.8764  6 Dy 3.56-3.67, 5 Nd 3.58-3.69, 1 Y 3.71
14 Y 0.0854 0.2495 0.3764  6 Dy 3.56-3.67, 5 Nd 3.58-3.69, 1 Y 3.71
15 Y 0.9146 0.7505 0.6236  6 Dy 3.56-3.67, 5 Nd 3.58-3.69, 1 Y 3.71
16 Y 0.0854 0.2495 0.1236  6 Dy 3.56-3.67, 5 Nd 3.58-3.69, 1 Y 3.71

DFT (PBE) results for an optimized crystal structure of NdDy2Y.

The calculation puts the mass density at 7.1 g/cm³. The calculation puts the calculated formation energy at 0.01 eV per atom.

Cell: 3.6123 3.6123 11.7573 Å, 81.16 81.16 60.00°
With the nearest neighbours (Å) after each atom.
Sites, in units of the cell vectors:
1 Nd 0.6664 0.6664 0.0008  6 Dy 3.59-3.60, 6 Nd 3.61
2 Dy 0.0844 0.0844 0.7468  3 Y 3.55, 3 Nd 3.60, 6 Dy 3.61
3 Dy 0.2488 0.2488 0.2536  3 Y 3.52, 3 Nd 3.59, 6 Dy 3.61
4 Y 0.5004 0.5004 0.4988  6 Dy 3.52-3.55, 6 Y 3.61

DFT (PBE) results for an optimized crystal structure of Nd2Dy4Y5.

The calculation puts the mass density at 6.3 g/cm³. The calculation puts the calculated formation energy at 0.16 eV per atom.

Cell: 6.6967 8.9501 10.3238 Å, 39.79 71.07 68.03°
With the nearest neighbours (Å) after each atom.
Sites, in units of the cell vectors:
1 Nd 0.2018 0.8935 0.7030  5 Dy 3.34-3.74, 2 Y 3.42
2 Nd 0.7982 0.1065 0.2970  5 Dy 3.34-3.74, 2 Y 3.42
3 Dy 0.4131 0.7691 0.4048  2 Dy 3.33-3.34, 6 Y 3.67-3.72
4 Dy 0.5869 0.2309 0.5952  2 Dy 3.33-3.34, 6 Y 3.67-3.72
5 Dy 0.7558 0.6856 0.8029  4 Y 3.28-3.49, 1 Dy 3.33, 4 Nd 3.34-3.56
6 Dy 0.2442 0.3144 0.1971  4 Y 3.28-3.49, 1 Dy 3.33, 4 Nd 3.34-3.56
7 Y 0.1724 0.2709 0.9079  4 Y 3.19-3.51, 2 Dy 3.28-3.49, 1 Nd 3.42
8 Y 0.8276 0.7291 0.0921  4 Y 3.19-3.51, 2 Dy 3.28-3.49, 1 Nd 3.42
9 Y 0.0000 0.5000 0.5000  4 Y 3.37, 4 Dy 3.74
10 Y 0.6488 0.2709 0.9079  4 Y 3.19-3.51, 2 Dy 3.28-3.49, 1 Nd 3.42
11 Y 0.3512 0.7291 0.0921  4 Y 3.19-3.51, 2 Dy 3.28-3.49, 1 Nd 3.42